Record 1
KRbCoRu2 GGA-PBE optimized geometry; energy relative to the elements = 2610 meV per atom; electronic total energy = -2.93 eV/atom
1.0
-2.685 -3.080 -3.015
3.362 0.935 -3.949
2.843 -3.936 1.489
Ru K Co Rb
2 1 1 1
Direct
0.000 0.000 0.500
0.500 0.000 0.000
0.000 0.000 0.000
0.000 0.500 0.000
0.500 0.500 0.500


Record 2
K2RbCoSi GGA-PBE optimized geometry; electronic total energy = -2.72 eV/atom; ΔE_f (raw) = 0.41 eV/atom
1.0
-2.879 3.604 4.714
-0.499 -3.682 2.510
5.888 1.087 2.765
K Co Si Rb
2 1 1 1
Direct
0.000 0.000 0.500
0.500 0.000 0.000
0.000 0.500 0.000
0.000 0.000 0.000
0.500 0.500 0.500


Record 3
KCoRe GGA-PBE optimized geometry; relative energy among the computed polymorphs = 191 meV/atom; energy relative to the elements = 747 meV per atom; electronic total energy = -6.14 eV/atom
1.0
-3.899 1.712 -0.538
-0.948 -2.947 -2.510
-2.706 -5.323 7.269
K Co Re
2 2 2
Direct
0.028 0.500 0.252
0.489 0.000 0.896
0.046 0.000 0.573
0.935 0.500 0.697
0.568 0.000 0.459
0.438 0.500 0.590


Record 4
K2CoRe GGA-PBE optimized geometry; relative energy among the computed polymorphs = 1297 meV/atom; energy relative to the elements = 2161 meV per atom; electronic total energy = -3.28 eV/atom
1.0
2.973 -4.704 0.089
-2.569 -4.906 0.552
-0.231 -3.520 -4.304
Re K Co
1 2 1
Direct
0.500 0.500 0.500
0.250 0.250 0.250
0.750 0.750 0.750
0.000 0.000 0.000


Record 5
KCoRe2 GGA-PBE optimized geometry; relative energy among the computed polymorphs = 908 meV/atom; energy relative to the elements = 1719 meV per atom; electronic total energy = -6.56 eV/atom
1.0
-0.646 5.069 -2.359
-4.930 2.669 -0.503
3.164 -2.734 3.768
Co K Re
1 1 2
Direct
0.250 0.750 0.500
0.750 0.250 0.500
0.000 0.000 0.000
0.500 0.500 0.000


Record 6
KCoRe2 GGA-PBE optimized geometry; relative energy among the computed polymorphs = 135 meV/atom; energy relative to the elements = 946 meV per atom; electronic total energy = -7.33 eV/atom
1.0
6.029 -0.007 0.012
5.474 2.526 0.012
1.949 0.427 4.433
Co K Re
1 1 2
Direct
0.250 0.250 0.250
0.750 0.750 0.750
0.956 0.956 0.044
0.544 0.544 0.456


Record 7
KCo2Re GGA-PBE optimized geometry; relative energy among the computed polymorphs = 1067 meV/atom; energy relative to the elements = 1717 meV per atom; electronic total energy = -5.22 eV/atom
1.0
-0.307 -3.678 2.362
3.410 -1.356 2.395
-0.172 0.213 4.374
Co K Re
2 1 1
Direct
0.000 0.000 0.000
0.750 0.750 0.750
0.500 0.500 0.500
0.250 0.250 0.250


Record 8
KCoRe GGA-PBE optimized geometry; relative energy among the computed polymorphs = 2570 meV/atom; energy relative to the elements = 3127 meV per atom; electronic total energy = -3.76 eV/atom
1.0
-0.946 -3.718 -2.757
3.161 -1.428 -3.208
2.333 -4.060 0.627
Co K Re
1 1 1
Direct
0.500 0.500 0.500
0.250 0.250 0.250
0.000 0.000 0.000


Record 9
KCoRe2 GGA-PBE optimized geometry; relative energy among the computed polymorphs = 648 meV/atom; energy relative to the elements = 1459 meV per atom; electronic total energy = -6.82 eV/atom
1.0
5.730 -0.038 0.000
-3.264 4.710 0.000
0.000 0.000 2.536
Co K Re
1 1 2
Direct
0.500 0.000 0.500
0.000 0.500 0.500
0.000 0.000 0.000
0.500 0.500 0.000


Record 10
KCoRe GGA-PBE optimized geometry; relative energy among the computed polymorphs = 0 meV/atom; energy relative to the elements = 557 meV per atom; electronic total energy = -6.33 eV/atom
1.0
-2.712 -0.110 -0.135
-0.030 -2.895 2.982
0.049 8.853 8.595
K Co Re
2 2 2
Direct
0.797 0.500 0.246
0.972 0.000 0.910
0.333 0.000 0.464
0.403 0.500 0.692
0.847 0.500 0.514
0.888 0.000 0.642


Record 11
KCo3Re GGA-PBE optimized geometry; relative energy among the computed polymorphs = 1453 meV/atom; energy relative to the elements = 2748 meV per atom; electronic total energy = -4.22 eV/atom
1.0
-1.896 -3.635 1.269
2.764 -2.270 -2.372
2.681 -0.230 3.344
Re K Co
1 1 3
Direct
0.500 0.500 0.500
0.000 0.000 0.000
0.000 0.500 0.000
0.000 0.000 0.500
0.500 0.000 0.000


Record 12
KCo2Re GGA-PBE optimized geometry; relative energy among the computed polymorphs = 189 meV/atom; energy relative to the elements = 839 meV per atom; electronic total energy = -6.10 eV/atom
1.0
9.805 0.011 0.006
9.413 2.743 0.006
9.413 1.349 2.389
Co K Re
2 1 1
Direct
0.014 0.014 0.014
0.486 0.486 0.486
0.250 0.250 0.250
0.750 0.750 0.750